This record from Alexandria describes SrCdGa2Au after structural relaxation. The functional is PBE-GGA.

Properties
The crystal system is orthorhombic.

a = 4.4451 Å, b = 4.4997 Å, c = 11.6290 Å
α = 90.00°, β = 90.00°, γ = 90.00°
With the nearest neighbours (Å) after each atom.
Space group Imm2 (No. 44)
Inequivalent atoms, fractional coordinates:
Sr  0.0000  0.0000  0.0000  4 Au 3.39, 8 Ga 3.43-3.72, 4 Cd 3.62-3.72
Cd  0.0000  0.5000  0.7455  2 Ga 2.72, 2 Au 2.81
Ga  0.0000  0.0000  0.6144  1 Au 2.56, 2 Cd 2.72, 2 Ga 2.76
Ga  0.0000  0.5000  0.2545  2 Ga 2.76, 2 Au 2.77
Au  0.0000  0.0000  0.3940  3 Ga 2.56-2.77, 2 Cd 2.81



This record from Alexandria describes SrCd2GaAu4 after structural relaxation. The functional is PBE-GGA.

Properties
The crystal system is trigonal.

a = 4.7462 Å, b = 4.7462 Å, c = 27.0392 Å
α = 90.00°, β = 90.00°, γ = 120.00°
With the nearest neighbours (Å) after each atom.
Space group R-3m (No. 166, hexagonal axes)
Inequivalent atoms, fractional coordinates:
Sr  0.0000  0.0000  0.0000  8 Au 3.27-3.62, 6 Cd 3.63
Cd  0.0000  0.0000  0.2454  7 Au 2.80-3.02
Ga  0.0000  0.0000  0.5000  8 Au 2.72-2.88
Au  0.0000  0.0000  0.1337  3 Ga 2.88, 4 Cd 3.01-3.02
Au  0.0000  0.0000  0.3995  1 Ga 2.72, 3 Cd 2.80



Number 1: ΔH_f (0 K) -0.47 eV/atom, N(E_F) 0.40 states/eV per atom, calculated density 7.66 g/cm3. Number 2: ΔH_f (0 K) -0.33 eV/atom, N(E_F) 0.45 states/eV per atom, calculated density 11.05 g/cm3.